#i
DFT (GGA-PBE) results for crystalline TaSn2I at its relaxed geometry.

abc: 6.693 6.693 8.610
angles: 67.13 67.13 90.00
Sites, in units of the cell vectors:
Sn 0.875 0.953 0.750
Sn 0.047 0.625 0.250
Sn 0.375 0.297 0.750
Sn 0.703 0.125 0.250
I 0.250 0.750 0.500
I 0.500 0.500 0.000
Ta 0.750 0.250 0.500
Ta 0.000 0.000 0.000

Calculated values
ρ: 5620 kg/m3
M_tot: 0.00 Bohr magnetons per cell
Space-group type: No. 122
D(E_F): 8.368 states/eV/cell

***

#ii
DFT (GGA-PBE) results for crystalline TaSn2I at its relaxed geometry.

abc: 5.205 5.205 5.205
angles: 60.00 60.00 60.00
Sites, in units of the cell vectors:
I 0.000 0.000 0.000
Ta 0.500 0.500 0.500
Sn 0.750 0.750 0.750
Sn 0.250 0.250 0.250

Calculated values
ρ: 9080 kg/m3
M_tot: 0.00 Bohr magnetons per cell
Space-group type: No. 225
D(E_F): 4.473 states/eV/cell

***

Stability summary: most stable #i, least stable #ii.

***

#i
DFT (GGA-PBE) results for crystalline TcSnI3 at its relaxed geometry.

abc: 6.117 6.117 6.117
angles: 90.00 90.00 90.00
Site moments in Bohr magnetons follow the coordinates.
Sites, in units of the cell vectors:
Sn 0.000 0.000 0.000  0.01
Tc 0.500 0.500 0.500  4.46
I 0.500 0.000 0.000  0.06
I 0.000 0.500 0.000  0.08
I 0.000 0.000 0.500  0.05

Calculated values
ρ: 4335 kg/m3
M_tot: 5.92 Bohr magnetons per cell
Space-group type: No. 221
D(E_F): 16.855 states/eV/cell

***

#ii
DFT (GGA-PBE) results for crystalline TcSnI3 at its relaxed geometry.

abc: 5.451 5.451 5.451
angles: 90.00 90.00 90.00
Site moments in Bohr magnetons follow the coordinates.
Sites, in units of the cell vectors:
I 0.000 0.000 0.500  0.04
I 0.000 0.500 0.000  0.03
I 0.500 0.000 0.000  0.08
Tc 0.000 0.000 0.000  1.75
Sn 0.500 0.500 0.500  -0.25

Calculated values
ρ: 6124 kg/m3
M_tot: 1.57 Bohr magnetons per cell
Space-group type: No. 221
D(E_F): 6.925 states/eV/cell

***

Stability summary: most stable #ii, least stable #i.